Below is a relaxed structure of VBiSbTe2, with properties calculated at the PBE-GGA level.

Lattice parameters (Å, degrees): 5.2278 5.2278 5.2913 90.00 90.00 90.00
Last column: nearest neighbours and their distance in Å.
Atoms (fractional coordinates):
V  0.0000  0.0000  0.0000  4 Te 2.61, 2 Sb 2.65
Te  0.0000  0.5000  0.0000  2 V 2.61
Te  0.5000  0.0000  0.0000  2 V 2.61
Bi  0.5000  0.5000  0.5000  4 Sb 3.70, 8 Te 3.72
Sb  0.0000  0.0000  0.5000  2 V 2.65

Calculated values
space group	P4/mmm, No. 123
total moment	1.70	μB per formula unit
formation energy without anion corrections	0.27	eV/atom
calculated total energy	-4.414	eV per atom


Below is a relaxed structure of VBiSb2Te, with properties calculated at the PBE-GGA level.

Lattice parameters (Å, degrees): 5.2665 5.2665 5.1256 90.00 90.00 90.00
Last column: nearest neighbours and their distance in Å.
Atoms (fractional coordinates):
Bi  0.5000  0.5000  0.5000  8 Sb 3.67, 4 Te 3.72
Te  0.0000  0.0000  0.5000  2 V 2.56
Sb  0.5000  0.0000  0.0000  2 V 2.63
Sb  0.0000  0.5000  0.0000  2 V 2.63
V  0.0000  0.0000  0.0000  2 Te 2.56, 4 Sb 2.63

Calculated values
space group	P4/mmm, No. 123
total moment	1.39	μB per formula unit
formation energy without anion corrections	0.31	eV/atom
calculated total energy	-4.569	eV per atom